Material: BaMgAlAu
Method: DFT, PBE-GGA
State: relaxed

Structure (CIF):
```
data_BaMgAlAu
_symmetry_space_group_name_H-M 'F -4 3 m'
_symmetry_Int_Tables_number 216
_symmetry_space_group_name_Hall 'F -4 2 3'
_cell_length_a 7.510
_cell_length_b 7.510
_cell_length_c 7.510
_cell_angle_alpha 90.00
_cell_angle_beta 90.00
_cell_angle_gamma 90.00
loop_
_atom_site_label
_atom_site_type_symbol
_atom_site_fract_x
_atom_site_fract_y
_atom_site_fract_z
Ba1 Ba 0.000 0.000 0.000
Mg1 Mg 0.000 0.000 0.500
Al1 Al 0.250 0.250 0.250
Au1 Au 0.250 0.250 0.750
```

- Energy: -2.795 eV per atom